[1]
Computed, not measured: a relaxed Nd12PdPt6 crystal at the GGA-PBE level of DFT.

a b c (Å): 8.5199 8.5199 8.5199
angles (deg): 99.76 99.76 99.76
Element x y z (fractional)
Nd1 0.8231 0.5769 0.4189
Nd2 0.4189 0.8231 0.5769
Nd3 0.5769 0.4189 0.8231
Nd4 0.1769 0.4231 0.5811
Nd5 0.5811 0.1769 0.4231
Nd6 0.4231 0.5811 0.1769
Nd7 0.0728 0.9442 0.3241
Nd8 0.0558 0.6759 0.9272
Nd9 0.6759 0.9272 0.0558
Nd10 0.9272 0.0558 0.6759
Nd11 0.9442 0.3241 0.0728
Nd12 0.3241 0.0728 0.9442
Pd1 0.0000 0.0000 0.0000
Pt1 0.6940 0.8650 0.3849
Pt2 0.6151 0.3060 0.1350
Pt3 0.1350 0.6151 0.3060
Pt4 0.3060 0.1350 0.6151
Pt5 0.3849 0.6940 0.8650
Pt6 0.8650 0.3849 0.6940

Values from the calculation:
**DFT formation energy**: -1373 kJ/mol of formula units
**SG**: R-3 (148)
**Crystal system**: trigonal



[2]
Computed, not measured: a relaxed Nd3Pd3Pt crystal at the GGA-PBE level of DFT.

a b c (Å): 4.3944 3.9320 10.0553
angles (deg): 101.28 102.62 90.00
Element x y z (fractional)
Nd1 0.3163 0.8163 0.6326
Nd2 0.6848 0.1848 0.3697
Nd3 0.9969 0.9969 0.9937
Pd1 0.1561 0.6561 0.3123
Pd2 0.8439 0.3439 0.6877
Pd3 0.5695 0.5695 0.1390
Pt1 0.4325 0.4325 0.8651

Values from the calculation:
**DFT formation energy**: -569 kJ/mol of formula units
**SG**: Imm2 (44)
**Crystal system**: orthorhombic



[3]
Computed, not measured: a relaxed NdPd4Pt2 crystal at the GGA-PBE level of DFT.

a b c (Å): 6.2755 6.2755 6.2755
angles (deg): 99.69 99.69 131.56
Element x y z (fractional)
Nd1 0.0000 0.0000 0.0000
Pd1 0.7208 0.5000 0.2208
Pd2 0.5000 0.7208 0.2208
Pd3 0.5000 0.2792 0.7792
Pd4 0.2792 0.5000 0.7792
Pt1 0.2500 0.7500 0.5000
Pt2 0.7500 0.2500 0.5000

Values from the calculation:
**DFT formation energy**: 131 kJ/mol of formula units
**SG**: I4/mmm (139)
**Crystal system**: tetragonal
**Polymorph energy (0 for the lowest one)**: 0.7116 eV per atom



[4]
Computed, not measured: a relaxed Nd2Pd5Pt5 crystal at the GGA-PBE level of DFT.

a b c (Å): 4.4870 5.3857 9.2717
angles (deg): 90.00 90.00 90.00
Element x y z (fractional)
Nd1 0.0000 0.5000 0.0000
Nd2 0.0000 0.0000 0.5000
Pd1 0.0000 0.5000 0.3333
Pd2 0.0000 0.0000 0.8321
Pd3 0.0000 0.0000 0.1679
Pd4 0.0000 0.5000 0.6667
Pd5 0.5000 0.0000 0.0000
Pt1 0.5000 0.5000 0.5000
Pt2 0.5000 0.7511 0.2510
Pt3 0.5000 0.2489 0.7490
Pt4 0.5000 0.2489 0.2510
Pt5 0.5000 0.7511 0.7490

Values from the calculation:
**DFT formation energy**: -744 kJ/mol of formula units
**SG**: Pmmm (47)
**Crystal system**: orthorhombic
**Polymorph energy (0 for the lowest one)**: 0.0000 eV per atom



[5]
Computed, not measured: a relaxed Nd2Pd4Pt crystal at the GGA-PBE level of DFT.

a b c (Å): 9.3801 5.4331 6.2706
angles (deg): 115.67 90.00 90.00
Element x y z (fractional)
Nd1 0.0000 0.6438 0.2876
Nd2 0.0000 0.3562 0.7124
Nd3 0.5000 0.8562 0.7124
Nd4 0.5000 0.1438 0.2876
Pd1 0.7500 0.7497 0.0000
Pd2 0.7500 0.5011 0.5000
Pd3 0.7500 0.0011 0.5000
Pd4 0.7500 0.2497 0.0000
Pd5 0.2500 0.7503 0.0000
Pd6 0.2500 0.9989 0.5000
Pd7 0.2500 0.4989 0.5000
Pd8 0.2500 0.2503 0.0000
Pt1 0.0000 0.0000 0.0000
Pt2 0.5000 0.5000 0.0000

Values from the calculation:
**DFT formation energy**: -348 kJ/mol of formula units
**SG**: Cmce (64)
**Crystal system**: orthorhombic



[6]
Computed, not measured: a relaxed NdPd6Pt2 crystal at the GGA-PBE level of DFT.

a b c (Å): 8.1649 8.1649 8.1649
angles (deg): 60.00 60.00 60.00
Element x y z (fractional)
Nd1 0.5000 0.5000 0.5000
Nd2 0.7500 0.7500 0.7500
Pd1 0.2583 0.2583 0.7417
Pd2 0.7417 0.7417 0.2583
Pd3 0.2583 0.7417 0.2583
Pd4 0.2583 0.7417 0.7417
Pd5 0.5083 0.5083 0.9917
Pd6 0.5083 0.9917 0.9917
Pd7 0.7417 0.2583 0.7417
Pd8 0.9917 0.9917 0.5083
Pd9 0.5083 0.9917 0.5083
Pd10 0.9917 0.5083 0.5083
Pd11 0.7417 0.2583 0.2583
Pd12 0.9917 0.5083 0.9917
Pt1 0.1250 0.1250 0.1250
Pt2 0.1250 0.6250 0.1250
Pt3 0.1250 0.1250 0.6250
Pt4 0.6250 0.1250 0.1250

Values from the calculation:
**DFT formation energy**: 222 kJ/mol of formula units
**SG**: Fd-3m (227)
**Crystal system**: cubic



[7]
Computed, not measured: a relaxed NdPdPt crystal at the GGA-PBE level of DFT.

a b c (Å): 5.1247 4.8389 5.8327
angles (deg): 90.00 90.00 121.97
Element x y z (fractional)
Nd1 0.6611 0.8221 0.7500
Nd2 0.3389 0.1779 0.2500
Pd1 0.6898 0.8797 0.2500
Pd2 0.3102 0.1203 0.7500
Pt1 0.0000 0.5000 0.0000
Pt2 0.0000 0.5000 0.5000

Values from the calculation:
**DFT formation energy**: -243 kJ/mol of formula units
**SG**: Cmcm (63)
**Crystal system**: orthorhombic
**Polymorph energy (0 for the lowest one)**: 0.0761 eV per atom



[8]
Computed, not measured: a relaxed Nd3PdPt8 crystal at the GGA-PBE level of DFT.

a b c (Å): 5.4612 5.4612 9.4442
angles (deg): 73.19 73.19 60.00
Element x y z (fractional)
Nd1 0.3779 0.3779 0.8664
Nd2 0.9880 0.9880 0.0360
Nd3 0.5085 0.5085 0.4744
Pd1 0.8677 0.8677 0.3969
Pt1 0.9414 0.4372 0.1843
Pt2 0.4389 0.9381 0.6848
Pt3 0.4372 0.4372 0.1843
Pt4 0.9381 0.9381 0.6848
Pt5 0.1887 0.1887 0.4340
Pt6 0.6883 0.6883 0.9352
Pt7 0.4372 0.9414 0.1843
Pt8 0.9381 0.4389 0.6848

Values from the calculation:
**DFT formation energy**: -1053 kJ/mol of formula units
**SG**: R3m (160)
**Crystal system**: trigonal



[9]
Computed, not measured: a relaxed NdPd2Pt2 crystal at the GGA-PBE level of DFT.

a b c (Å): 3.9379 3.9379 12.9332
angles (deg): 98.76 98.76 90.00
Element x y z (fractional)
Nd1 0.6238 0.6238 0.2476
Nd2 0.3762 0.3762 0.7524
Pd1 0.0000 0.5000 0.0000
Pd2 0.1760 0.1760 0.3519
Pd3 0.5000 0.0000 0.0000
Pd4 0.8240 0.8240 0.6481
Pt1 0.7500 0.2500 0.5000
Pt2 0.9261 0.9261 0.8522
Pt3 0.0739 0.0739 0.1478
Pt4 0.2500 0.7500 0.5000

Values from the calculation:
**DFT formation energy**: -245 kJ/mol of formula units
**SG**: I4/mmm (139)
**Crystal system**: tetragonal



[10]
Computed, not measured: a relaxed NdPd2Pt crystal at the GGA-PBE level of DFT.

a b c (Å): 4.1664 4.2205 4.2205
angles (deg): 90.00 90.00 90.00
Element x y z (fractional)
Nd1 0.5000 0.5000 0.5000
Pd1 0.0000 0.0000 0.5000
Pd2 0.0000 0.5000 0.0000
Pt1 0.5000 0.0000 0.0000

Values from the calculation:
**DFT formation energy**: -310 kJ/mol of formula units
**SG**: P4/mmm (123)
**Crystal system**: tetragonal
**Polymorph energy (0 for the lowest one)**: 0.0000 eV per atom



[11]
Computed, not measured: a relaxed Nd2Pd9Pt crystal at the GGA-PBE level of DFT.

a b c (Å): 4.1425 4.1425 12.2421
angles (deg): 90.00 90.00 90.00
Element x y z (fractional)
Nd1 0.0000 0.0000 0.3258
Nd2 0.0000 0.0000 0.6742
Pd1 0.5000 0.5000 0.0000
Pd2 0.5000 0.5000 0.3264
Pd3 0.5000 0.5000 0.6736
Pd4 0.5000 0.0000 0.1534
Pd5 0.5000 0.0000 0.5000
Pd6 0.5000 0.0000 0.8466
Pd7 0.0000 0.5000 0.1534
Pd8 0.0000 0.5000 0.5000
Pd9 0.0000 0.5000 0.8466
Pt1 0.0000 0.0000 0.0000

Values from the calculation:
**DFT formation energy**: -573 kJ/mol of formula units
**SG**: P4/mmm (123)
**Crystal system**: tetragonal



[12]
Computed, not measured: a relaxed NdPd3Pt crystal at the GGA-PBE level of DFT.

a b c (Å): 4.4719 6.4966 6.5495
angles (deg): 90.00 90.00 90.00
Element x y z (fractional)
Nd1 0.5000 0.0000 0.2590
Nd2 0.0000 0.5000 0.7410
Pd1 0.0000 0.7006 0.2529
Pd2 0.5000 0.7994 0.7471
Pd3 0.5000 0.2006 0.7471
Pd4 0.0000 0.2994 0.2529
Pd5 0.0000 0.0000 0.9530
Pd6 0.5000 0.5000 0.0470
Pt1 0.0000 0.0000 0.5560
Pt2 0.5000 0.5000 0.4440

Values from the calculation:
**DFT formation energy**: -234 kJ/mol of formula units
**SG**: Pmmn (59)
**Crystal system**: orthorhombic
**Polymorph energy (0 for the lowest one)**: 0.0814 eV per atom